Entry from Alexandria: Si2Os after structural relaxation (PBE).

Calculated values
Fermi-level density of states, states/eV per cell: 3.386
Electronic total energy, hartree per atom: -0.258
Symmetry: P6_3/mmc, No. 194
ΔE_f (raw), eV per atom: 0.3496

POSCAR file:
```
Si2Os
1.0
4.2839 0.0000 0.0000
-2.1420 3.7100 0.0000
0.0000 0.0000 5.1550
Si Os
4 2
direct
0.0000 0.0000 0.0000
0.0000 0.0000 0.5000
0.3333 0.6667 0.2500
0.6667 0.3333 0.7500
0.3333 0.6667 0.7500
0.6667 0.3333 0.2500
```